Pr3ThTe4: optimized geometry, PBE.

Crystal system   orthorhombic
ΔE_f (raw)   -1.326 eV/atom
Volume   32.5 Å³ per atom
Total magnetization   0.0 Bohr magnetons per cell

Cell and atoms, written as CIF:
```
data_Pr3ThTe4
_cell_length_a 9.028
_cell_length_b 12.776
_cell_length_c 4.510
_cell_angle_alpha 90.00
_cell_angle_beta 90.00
_cell_angle_gamma 90.00
_space_group_name_H-M_alt 'C m m m'
_space_group_IT_number 65
_space_group_name_Hall '-C 2 2'
loop_
_atom_site_label
_atom_site_type_symbol
_atom_site_fract_x
_atom_site_fract_y
_atom_site_fract_z
Pr1 Pr 0.000 0.000 0.000
Pr2 Pr 0.250 0.250 0.500
Th1 Th 0.000 0.500 0.000
Te1 Te 0.000 0.251 0.000
Te2 Te 0.248 0.500 0.500
```